No. 1
The following is a DFT calculation (PBEsol) of a geometry-optimized GeTeOsI2 structure.

Calculated values
total energy = -0.119 Ha/atom
M_tot = 4.3 μB/cell
energy relative to the elements, uncorrected = 1593 meV/atom
symmetry = P4/mmm

abc: 5.455 5.383 5.383
angles: 90.00 90.00 90.00
Last column: magnetic moment on the atom in μB.
Element x y z (fractional)
Os 0.500 0.500 0.500  3.31
I 0.000 0.000 0.500  0.10
I 0.000 0.500 0.000  0.10
Ge 0.000 0.000 0.000  0.01
Te 0.500 0.000 0.000  0.09

***

No. 2
The following is a DFT calculation (PBEsol) of a geometry-optimized BaTl2Ru structure.

Calculated values
total energy = -0.156 Ha/atom
M_tot = 0.0 μB/cell
ΔH_f (0 K) = 0.152 eV/atom
symmetry = P4/mmm

abc: 3.457 3.461 8.077
angles: 90.00 90.00 90.00
Element x y z (fractional)
Tl 0.000 0.000 0.689
Tl 0.000 0.000 0.311
Ba 0.500 0.500 0.000
Ru 0.500 0.500 0.500

***

No. 3
The following is a DFT calculation (PBEsol) of a geometry-optimized ZnNi2HgH structure.

Calculated values
total energy = -0.070 Ha/atom
M_tot = 1.2 μB/cell
symmetry = P4/mmm

abc: 4.763 4.763 4.852
angles: 90.00 90.00 90.00
Last column: magnetic moment on the atom in μB.
Element x y z (fractional)
Ni 0.500 0.000 0.000  0.50
Ni 0.000 0.500 0.000  0.50
Hg 0.000 0.000 0.000  -0.02
Zn 0.000 0.000 0.500  0.02
H 0.500 0.500 0.500  0.11

***

No. 4
The following is a DFT calculation (PBEsol) of a geometry-optimized CuRe2Si structure.

Calculated values
total energy = -0.330 Ha/atom
M_tot = 0.0 μB/cell
energy relative to the elements, uncorrected = 211 meV/atom
symmetry = P2/m

abc: 2.694 4.004 5.105
angles: 90.00 101.67 90.00
Element x y z (fractional)
Re 0.302 0.000 0.249
Re 0.698 0.000 0.751
Cu 0.000 0.500 0.500
Si 0.500 0.500 0.000

***

No. 5
The following is a DFT calculation (PBEsol) of a geometry-optimized SbPbW2 structure.

Calculated values
total energy = -0.300 Ha/atom
M_tot = 0.0 μB/cell
energy relative to the elements, uncorrected = 875 meV/atom
symmetry = Imm2

abc: 3.182 4.786 6.161
angles: 112.85 104.96 90.00
Element x y z (fractional)
W 0.702 0.202 0.404
W 0.024 0.024 0.049
Pb 0.493 0.493 0.987
Sb 0.280 0.780 0.560

***

No. 6
The following is a DFT calculation (PBEsol) of a geometry-optimized La2CuBiS5 structure.

Calculated values
total energy = -0.220 Ha/atom
M_tot = 0.0 μB/cell
energy relative to the elements, uncorrected = -1417 meV/atom
symmetry = Pnma

abc: 3.954 11.878 16.810
angles: 90.00 90.00 90.00
Element x y z (fractional)
S 0.250 0.014 0.798
S 0.750 0.237 0.736
S 0.250 0.586 0.926
S 0.250 0.309 0.889
S 0.250 0.086 0.574
S 0.750 0.896 0.969
S 0.250 0.104 0.031
S 0.750 0.737 0.764
S 0.750 0.986 0.202
S 0.250 0.263 0.236
S 0.750 0.414 0.074
S 0.250 0.514 0.702
S 0.250 0.809 0.611
S 0.750 0.486 0.298
S 0.750 0.691 0.111
S 0.750 0.914 0.426
S 0.250 0.763 0.264
S 0.250 0.604 0.469
S 0.750 0.396 0.531
S 0.750 0.191 0.389
La 0.750 0.628 0.598
La 0.250 0.533 0.173
La 0.250 0.033 0.327
La 0.250 0.872 0.098
La 0.750 0.467 0.827
La 0.750 0.967 0.673
La 0.750 0.128 0.902
La 0.250 0.372 0.402
Bi 0.250 0.802 0.863
Bi 0.750 0.698 0.363
Bi 0.250 0.302 0.637
Bi 0.750 0.198 0.137
Cu 0.750 0.088 0.502
Cu 0.750 0.588 0.998
Cu 0.250 0.412 0.002
Cu 0.250 0.912 0.498

***

No. 7
The following is a DFT calculation (PBEsol) of a geometry-optimized YScO3 structure.

Calculated values
total energy = -0.346 Ha/atom
M_tot = 0.0 μB/cell
energy relative to the elements, uncorrected = -3582 meV/atom
symmetry = P6_3/mmc

abc: 3.549 3.549 12.205
angles: 90.00 90.00 120.00
Element x y z (fractional)
O 0.333 0.667 0.418
O 0.667 0.333 0.918
O 0.000 0.000 0.750
O 0.667 0.333 0.582
O 0.000 0.000 0.250
O 0.333 0.667 0.082
Y 0.000 0.000 0.500
Y 0.000 0.000 0.000
Sc 0.667 0.333 0.750
Sc 0.333 0.667 0.250

***

No. 8
The following is a DFT calculation (PBEsol) of a geometry-optimized BaCuC2 structure.

Calculated values
total energy = -0.161 Ha/atom
M_tot = 0.0 μB/cell
ΔH_f (0 K) = 2.072 eV/atom
symmetry = Fm-3m

abc: 4.403 4.403 4.403
angles: 60.00 60.00 60.00
Element x y z (fractional)
Cu 0.000 0.000 0.000
C 0.750 0.750 0.750
C 0.250 0.250 0.250
Ba 0.500 0.500 0.500

***

Number 1: calculated volume 31.61 Å³/atom. Number 2: calculated volume 24.15 Å³/atom. Number 3: calculated volume 22.01 Å³/atom. Number 4: calculated volume 13.48 Å³/atom. Number 5: calculated volume 20.75 Å³/atom. Number 6: calculated volume 21.93 Å³/atom. Number 7: calculated volume 13.31 Å³/atom. Number 8: calculated volume 15.09 Å³/atom.